#P
This record from Alexandria describes a relaxed Tl3PdO crystal. The functional is PBE-GGA.

```
5
Lattice="5.299 0.000 0.000 0.000 5.299 0.000 0.000 0.000 5.299" Properties=species:S:1:pos:R:3 pbc="T T T"
Tl 0.000 0.000 2.649
Tl 0.000 2.649 0.000
Tl 2.649 0.000 0.000
Pd 0.000 0.000 0.000
O 2.649 2.649 2.649
```

Results
Its space-group type is Pm-3m (221). The calculation puts the volume at 29.8 Å³ per atom. As for the density: 8.211 Mg/m³.

***

#Q
This record from Alexandria describes a relaxed Tl3PdO crystal. The functional is PBE-GGA.

```
5
Lattice="4.933 0.000 0.000 0.000 4.933 0.000 0.000 0.000 4.933" Properties=species:S:1:pos:R:3 pbc="T T T"
Tl 0.000 0.000 2.466
Tl 0.000 2.466 0.000
Tl 2.466 0.000 0.000
Pd 2.466 2.466 2.466
O 0.000 0.000 0.000
```

Results
Its space-group type is Pm-3m (221). The calculation puts the volume at 24.0 Å³ per atom. As for the density: 10.176 Mg/m³.

***

How do the energies compare? Relative to the most stable structure, in meV per atom: #P 152; #Q 0.